# 1
The following is a PBE-GGA calculation of a geometry-optimized ThC2N3 structure, from the Alexandria database.

Calculated values
Symmetry: C2/m
Energy relative to the elements, uncorrected in eV per atom: 0.153
Density in Mg/m³: 5.4

abc: 11.068 11.068 3.512
angles: 92.16 92.16 24.99
Element x y z (fractional)
Th1 0.191 0.191 0.465
Th2 0.809 0.809 0.535
C1 0.103 0.103 0.957
C2 0.411 0.411 0.201
C3 0.589 0.589 0.799
C4 0.897 0.897 0.043
N1 0.000 0.500 0.000
N2 0.162 0.675 0.215
N3 0.325 0.838 0.785
N4 0.500 0.000 0.000
N5 0.675 0.162 0.215
N6 0.838 0.325 0.785



# 2
The following is a PBE-GGA calculation of a geometry-optimized Th5CN4 structure, from the Alexandria database.

Calculated values
Symmetry: I4/m
Energy relative to the elements, uncorrected in eV per atom: -1.324
Density in Mg/m³: 11.5

abc: 6.388 6.388 6.388
angles: 99.62 99.62 131.74
Element x y z (fractional)
Th1 0.000 0.000 0.000
Th2 0.199 0.601 0.799
Th3 0.399 0.199 0.598
Th4 0.601 0.801 0.402
Th5 0.801 0.399 0.201
C1 0.500 0.500 0.000
N1 0.103 0.299 0.403
N2 0.299 0.897 0.196
N3 0.701 0.103 0.804
N4 0.897 0.701 0.597



# 3
The following is a PBE-GGA calculation of a geometry-optimized Th4CN2 structure, from the Alexandria database.

Calculated values
Symmetry: C2/m
Energy relative to the elements, uncorrected in eV per atom: -0.861
Density in Mg/m³: 11.2

abc: 7.170 7.170 6.344
angles: 115.58 115.58 29.42
Element x y z (fractional)
Th1 0.128 0.128 0.286
Th2 0.368 0.368 0.191
Th3 0.632 0.632 0.809
Th4 0.872 0.872 0.714
C1 0.500 0.500 0.000
N1 0.243 0.243 0.737
N2 0.757 0.757 0.263



# 4
The following is a PBE-GGA calculation of a geometry-optimized Th4C2N structure, from the Alexandria database.

Calculated values
Symmetry: Cmcm
Energy relative to the elements, uncorrected in eV per atom: -0.426
Density in Mg/m³: 11.5

abc: 6.372 6.372 12.532
angles: 90.00 90.00 146.62
Element x y z (fractional)
Th1 0.000 0.000 0.000
Th2 0.000 0.000 0.500
Th3 0.281 0.719 0.622
Th4 0.281 0.719 0.878
Th5 0.446 0.554 0.250
Th6 0.554 0.446 0.750
Th7 0.719 0.281 0.122
Th8 0.719 0.281 0.378
C1 0.353 0.647 0.062
C2 0.353 0.647 0.438
C3 0.647 0.353 0.562
C4 0.647 0.353 0.938
N1 0.078 0.922 0.250
N2 0.922 0.078 0.750



Q: Number 3 is which compound?
A: Th4CN2



Q: The lowest energy relative to the elements, uncorrected belongs to which entry?
A: Th5CN4



Q: density of number 4 (Th4C2N)?
A: 11.5 Mg/m³